1.
CdFeMo2: relaxed, GGA-PBE.

Calculated values
**Formation energy from the elements**: 2.10 eV/f.u.
**Total moment**: 2.37 μB/f.u.
**Raw total energy**: -7.23 eV per atom

abc: 4.4816 4.4816 4.4816
angles: 60.00 60.00 60.00
Sites, in units of the cell vectors:
Cd: 0.0000 0.0000 0.0000
Fe: 0.2500 0.2500 0.2500
Mo: 0.5000 0.5000 0.5000
Mo: 0.7500 0.7500 0.7500


2.
Zn2HgPt: relaxed, GGA-PBE.

Calculated values
**Formation energy from the elements**: 0.04 eV/f.u.
**Total moment**: 0.00 μB/f.u.
**Raw total energy**: -2.21 eV per atom

abc: 9.5900 9.5900 9.5900
angles: 155.80 155.80 34.48
Sites, in units of the cell vectors:
Zn: 0.0832 0.6250 0.9582
Zn: 0.3750 0.3332 0.4582
Zn: 0.6668 0.1250 0.0418
Zn: 0.8750 0.9168 0.5418
Hg: 0.2500 0.7500 0.5000
Hg: 0.5000 0.5000 0.0000
Pt: 0.0000 0.0000 0.0000
Pt: 0.7500 0.2500 0.5000